# KAcAu2 (PBE, optimized geometry)
data_KAcAu2
_chemical_formula_sum 'K1 Ac1 Au2'
_symmetry_space_group_name_H-M 'P 1'
_symmetry_Int_Tables_number 1
_cell_length_a 4.490
_cell_length_b 4.490
_cell_length_c 8.582
_cell_angle_alpha 74.84
_cell_angle_beta 74.84
_cell_angle_gamma 60.00
loop_
_symmetry_equiv_pos_as_xyz
'x,y,z'
loop_
_atom_site_label
_atom_site_fract_x
_atom_site_fract_y
_atom_site_fract_z
_atom_site_occupancy
Ac1 0.000 0.000 0.000 1
Au1 0.261 0.261 0.218 1
Au2 0.739 0.739 0.782 1
K1 0.500 0.500 0.500 1
# VASP energy: -0.2533 Ry per atom
# energy of formation: -0.5067 eV/atom
# calculated volume: 142.8 Å³/f.u.

=====

# TcOs2Cl (PBE, optimized geometry)
data_TcOs2Cl
_chemical_formula_sum 'Tc1 Os2 Cl1'
_symmetry_space_group_name_H-M 'P 1'
_symmetry_Int_Tables_number 1
_cell_length_a 4.604
_cell_length_b 4.604
_cell_length_c 2.817
_cell_angle_alpha 90.00
_cell_angle_beta 90.00
_cell_angle_gamma 90.00
loop_
_symmetry_equiv_pos_as_xyz
'x,y,z'
loop_
_atom_site_label
_atom_site_fract_x
_atom_site_fract_y
_atom_site_fract_z
_atom_site_occupancy
Cl1 0.000 0.500 0.500 1
Os1 0.000 0.000 0.000 1
Os2 0.500 0.500 0.000 1
Tc1 0.500 0.000 0.500 1
# formation energy from raw total energies: 122.4 kJ per mole of atoms
# VASP energy: -0.5439 Ry per atom
# calculated volume: 59.7 Å³/f.u.

=====

# KNa (PBE, optimized geometry)
data_KNa
_chemical_formula_sum 'K8 Na8'
_symmetry_space_group_name_H-M 'P 1'
_symmetry_Int_Tables_number 1
_cell_length_a 11.595
_cell_length_b 11.595
_cell_length_c 11.595
_cell_angle_alpha 90.00
_cell_angle_beta 90.00
_cell_angle_gamma 90.00
loop_
_symmetry_equiv_pos_as_xyz
'x,y,z'
loop_
_atom_site_label
_atom_site_fract_x
_atom_site_fract_y
_atom_site_fract_z
_atom_site_occupancy
K1 0.294 0.294 0.294 1
K2 0.294 0.706 0.706 1
K3 0.706 0.294 0.706 1
K4 0.706 0.706 0.294 1
K5 0.794 0.794 0.794 1
K6 0.794 0.206 0.206 1
K7 0.206 0.794 0.206 1
K8 0.206 0.206 0.794 1
Na1 0.107 0.107 0.107 1
Na2 0.107 0.893 0.893 1
Na3 0.893 0.107 0.893 1
Na4 0.893 0.893 0.107 1
Na5 0.607 0.607 0.607 1
Na6 0.607 0.393 0.393 1
Na7 0.393 0.607 0.393 1
Na8 0.393 0.393 0.607 1
# VASP energy: -0.0720 Ry per atom
# energy of formation: 0.2289 eV/atom
# calculated volume: 194.9 Å³/f.u.

=====

| no. | magnetic moment (μB per formula unit) |
| --- | --- |
| 1 | 0.00 |
| 2 | 0.00 |
| 3 | 0.00 |